Entry 1:
Computed, not measured: Li2HfAl2CuPt2 after structural relaxation at the PBE level of DFT.

Summary:
DFT total energy	-5.2380	eV/atom
space group	P-4m2

a = 4.0617 Å, b = 4.0617 Å, c = 7.0429 Å
α = 90.00°, β = 90.00°, γ = 90.00°
Fractional coordinates of all 8 atoms:
Al 0.0000 0.5000 0.7839
Al 0.5000 0.0000 0.2161
Pt 0.5000 0.5000 0.5000
Pt 0.0000 0.0000 0.0000
Li 0.0000 0.5000 0.2225
Li 0.5000 0.0000 0.7775
Hf 0.0000 0.0000 0.5000
Cu 0.5000 0.5000 0.0000


Entry 2:
Computed, not measured: Ba2IrNCl after structural relaxation at the PBE level of DFT.

Summary:
DFT total energy	-5.6581	eV/atom
space group	P4/mmm

a = 5.7615 Å, b = 5.7615 Å, c = 3.8104 Å
α = 90.00°, β = 90.00°, γ = 90.00°
Fractional coordinates of all 5 atoms:
Ir 0.5000 0.5000 0.5000
Cl 0.0000 0.0000 0.5000
Ba 0.5000 0.0000 0.0000
Ba 0.0000 0.5000 0.0000
N 0.5000 0.5000 0.0000


Entry 3:
Computed, not measured: ErTmTh after structural relaxation at the PBE level of DFT.

Summary:
energy relative to the elements	0.7990	eV/atom
space group	F-43m
energy above the most stable polymorph in this dataset	0	meV per atom

a = 5.3785 Å, b = 5.3785 Å, c = 5.3785 Å
α = 60.00°, β = 60.00°, γ = 60.00°
Fractional coordinates of all 3 atoms:
Tm 0.0000 0.0000 0.0000
Th 0.7500 0.7500 0.7500
Er 0.2500 0.2500 0.2500


Entry 4:
Computed, not measured: Lu2Ta4Sb3N3 after structural relaxation at the PBE level of DFT.

Summary:
DFT total energy	-8.4851	eV/atom
space group	C2/c

a = 5.9106 Å, b = 5.9106 Å, c = 13.5498 Å
α = 102.47°, β = 102.47°, γ = 60.79°
Fractional coordinates of all 24 atoms:
Sb 0.5798 0.7833 0.2501
Sb 0.0571 0.9429 0.7500
Sb 0.7833 0.5798 0.7501
Sb 0.4202 0.2167 0.7499
Sb 0.2167 0.4202 0.2499
Sb 0.9429 0.0571 0.2500
N 0.0000 0.5000 0.5000
N 0.5000 0.0000 0.0000
N 0.1812 0.6603 0.0000
N 0.8188 0.3397 0.0000
N 0.6603 0.1812 0.5000
N 0.3397 0.8188 0.5000
Ta 0.0362 0.1849 0.5762
Ta 0.1849 0.0362 0.0762
Ta 0.9638 0.8151 0.4238
Ta 0.1319 0.3074 0.9238
Ta 0.3074 0.1319 0.4238
Ta 0.8151 0.9638 0.9238
Ta 0.6926 0.8681 0.5762
Ta 0.8681 0.6926 0.0762
Lu 0.3657 0.5313 0.5966
Lu 0.4687 0.6343 0.9034
Lu 0.5313 0.3657 0.0966
Lu 0.6343 0.4687 0.4034


Entry 5:
Computed, not measured: Cu3Cl4 after structural relaxation at the PBE level of DFT.

Summary:
space group	P-42m
energy above the most stable polymorph in this dataset	1	meV per atom

a = 5.3194 Å, b = 5.3194 Å, c = 5.3436 Å
α = 90.00°, β = 90.00°, γ = 90.00°
Fractional coordinates of all 7 atoms:
Cu 0.5000 0.0000 0.5000
Cu 0.0000 0.5000 0.5000
Cu 0.0000 0.0000 0.0000
Cl 0.7510 0.7510 0.7491
Cl 0.7510 0.2490 0.2509
Cl 0.2490 0.7510 0.2509
Cl 0.2490 0.2490 0.7491


Entry 6:
Computed, not measured: FeSnAsAu after structural relaxation at the PBE level of DFT.

Summary:
space group	F-43m
energy above the most stable polymorph in this dataset	0	meV per atom

a = 4.7302 Å, b = 4.7302 Å, c = 4.7302 Å
α = 60.00°, β = 60.00°, γ = 60.00°
Fractional coordinates of all 4 atoms:
Sn 0.0000 0.0000 0.0000
Fe 0.2500 0.2500 0.2500
As 0.5000 0.5000 0.5000
Au 0.7500 0.7500 0.7500


Entry 7:
Computed, not measured: PmNpB after structural relaxation at the PBE level of DFT.

Summary:
space group	F-43m
energy above the most stable polymorph in this dataset	0	meV per atom

a = 4.4993 Å, b = 4.4993 Å, c = 4.4993 Å
α = 60.00°, β = 60.00°, γ = 60.00°
Site moments in Bohr magnetons follow the coordinates.
Fractional coordinates of all 3 atoms:
Pm 0.7500 0.7500 0.7500  0.24
B 0.0000 0.0000 0.0000  -0.10
Np 0.2500 0.2500 0.2500  3.89


Entry 8:
Computed, not measured: BaSrLaAu after structural relaxation at the PBE level of DFT.

Summary:
space group	F-43m
energy above the most stable polymorph in this dataset	77	meV per atom

a = 5.8266 Å, b = 5.8266 Å, c = 5.8266 Å
α = 60.00°, β = 60.00°, γ = 60.00°
Fractional coordinates of all 4 atoms:
La 0.5000 0.5000 0.5000
Au 0.7500 0.7500 0.7500
Ba 0.0000 0.0000 0.0000
Sr 0.2500 0.2500 0.2500


Entry 9:
Computed, not measured: LiCdN after structural relaxation at the PBE level of DFT.

Summary:
DFT total energy	-3.4175	eV/atom
space group	P6_3/mmc

a = 3.8592 Å, b = 3.8592 Å, c = 5.9436 Å
α = 90.00°, β = 90.00°, γ = 120.00°
Fractional coordinates of all 6 atoms:
N 0.6667 0.3333 0.7500
N 0.3333 0.6667 0.2500
Li 0.0000 0.0000 0.0000
Li 0.0000 0.0000 0.5000
Cd 0.3333 0.6667 0.7500
Cd 0.6667 0.3333 0.2500


Entry 10:
Computed, not measured: SmNpPd after structural relaxation at the PBE level of DFT.

Summary:
energy relative to the elements	0.5186	eV/atom
space group	F-43m

a = 4.7532 Å, b = 4.7532 Å, c = 4.7532 Å
α = 60.00°, β = 60.00°, γ = 60.00°
Fractional coordinates of all 3 atoms:
Np 0.2500 0.2500 0.2500
Pd 0.7500 0.7500 0.7500
Sm 0.0000 0.0000 0.0000